Record 1
Below is a relaxed structure of KP2Ru, with properties calculated at the PBE-GGA level.

Cell: 4.873 4.873 3.029 Å, 90.59 90.59 108.51°
Positions (direct):
K  0.000  0.000  0.000
P  0.000  0.500  0.500
P  0.500  0.000  0.500
Ru  0.500  0.500  0.000

Computed properties:
The distance to the lowest polymorph of the same formula comes out at 1032 meV/atom.

***

Record 2
Below is a relaxed structure of K2PRu, with properties calculated at the PBE-GGA level.

Cell: 3.610 5.028 5.109 Å, 90.00 90.00 90.00°
Positions (direct):
K  0.000  0.249  0.000
K  0.000  0.751  0.000
P  0.500  0.500  0.500
Ru  0.500  0.000  0.500

***

Record 3
Below is a relaxed structure of KP2Ru, with properties calculated at the PBE-GGA level.

Cell: 4.255 4.255 6.426 Å, 100.74 100.74 54.70°
Positions (direct):
K  0.000  0.000  0.000
P  0.246  0.246  0.634
P  0.405  0.405  0.375
Ru  0.715  0.715  0.456

Computed properties:
The distance to the lowest polymorph of the same formula comes out at 3 meV/atom.

***

Number 1: D(E_F) 0.90 states/eV per atom, energy of formation from the pure elements 0.773 eV/atom. Number 2: D(E_F) 0.70 states/eV per atom, energy of formation from the pure elements 0.694 eV/atom. Number 3: D(E_F) 0.60 states/eV per atom, energy of formation from the pure elements -0.257 eV/atom.